A plane-wave DFT calculation with PBE was carried out for KRb2AgPb after structural relaxation.

Cell: 7.079 7.079 6.179 Å, 90.00 90.00 90.00°
Space group P4/mmm (No. 123)
One atom of each set of equivalent atoms:
K 0.000 0.000 0.000 x1
Rb 0.000 0.500 0.000 x2
Ag 0.500 0.500 0.500 x1
Pb 0.000 0.000 0.500 x1

Calculated values
The energy relative to the lowest polymorph listed for this composition is 528 meV/atom. The formation energy from the elements comes out at 0.5827 eV/atom. The value obtained for the density is 2.82 g/cm3.



A plane-wave DFT calculation with PBE was carried out for Sr2GaCo2 after structural relaxation.

Cell: 6.699 6.699 4.751 Å, 90.00 90.00 90.00°
Space group P4/mbm (No. 127)
One atom of each set of equivalent atoms:
Sr 0.181 0.319 0.000 x4
Ga 0.000 0.000 0.500 x2
Co 0.120 0.620 0.500 x4

Calculated values
The formation energy from the elements comes out at 0.1786 eV/atom. The value obtained for the density is 5.65 g/cm3.



What did the first record say?
A plane-wave DFT calculation with PBE was carried out for KRb2AgPb after structural relaxation.

Cell: 7.079 7.079 6.179 Å, 90.00 90.00 90.00°
Space group P4/mmm (No. 123)
One atom of each set of equivalent atoms:
K 0.000 0.000 0.000 x1
Rb 0.000 0.500 0.000 x2
Ag 0.500 0.500 0.500 x1
Pb 0.000 0.000 0.500 x1

Calculated values
The energy relative to the lowest polymorph listed for this composition is 528 meV/atom. The formation energy from the elements comes out at 0.5827 eV/atom. The value obtained for the density is 2.82 g/cm3.



Q: What is the formula in the first record?
A: KRb2AgPb



Q: Which of these has the highest formation energy from the elements?
A: KRb2AgPb